1.
Rb2BaHf GGA-PBE optimized geometry; crystal system = tetragonal; formation energy from the elements = 1.0865 eV per atom; magnetization = 3.79 μB per cell; total energy = -2.366 eV/atom; energy relative to the lowest polymorph listed for this composition = 0.0 meV/atom; V = 50.93 Å³ per atom
1.0
5.215 0.000 0.000
0.000 5.215 0.000
2.608 2.608 14.980
Ba Hf Rb
2 2 4
Cartesian
2.608 2.608 0.000
2.608 5.215 7.490
5.215 2.608 7.490
0.000 0.000 0.000
3.966 1.304 3.745
1.249 3.911 3.745
3.911 3.857 11.235
6.519 6.573 11.235


2.
Rb2BaHfS4 GGA-PBE optimized geometry; crystal system = orthorhombic; magnetization = 0.00 μB per cell; total energy = -5.317 eV/atom; formation energy (no corrections) = -1.5270 eV per atom; V = 29.39 Å³ per atom
1.0
8.755 -0.056 -0.450
-0.063 8.755 -0.450
-4.571 -4.574 6.609
S Rb Hf Ba
8 4 2 2
Cartesian
1.879 1.912 0.178
0.150 0.182 2.676
3.972 3.943 3.032
2.243 2.213 5.530
0.234 3.832 2.814
-2.863 2.355 6.119
6.984 1.769 -0.411
3.888 0.293 2.894
6.470 -2.343 2.854
2.030 6.440 2.629
4.346 4.349 -0.450
4.378 -0.028 -0.225
4.122 4.125 5.708
2.061 2.062 2.854
-0.031 4.378 -0.225
-2.317 2.091 3.079


3.
Rb2BaHf3S8 GGA-PBE optimized geometry; crystal system = trigonal; magnetization = 0.00 μB per cell; total energy = -6.274 eV/atom; formation energy (no corrections) = -1.5069 eV per atom; V = 28.94 Å³ per atom
1.0
7.731 0.000 0.000
3.865 6.695 0.000
3.865 2.232 7.828
S Rb Hf Ba
8 2 3 1
Cartesian
3.865 2.232 1.434
5.979 5.475 1.414
9.523 3.428 6.520
11.596 6.695 6.384
7.731 2.441 1.414
7.731 6.533 6.520
5.938 3.428 6.520
9.482 5.475 1.414
3.865 2.232 4.592
7.731 4.463 3.989
9.633 5.562 7.821
7.731 2.266 7.821
5.828 5.562 7.821
11.596 6.695 3.043


4.
RbBaSr2Hf GGA-PBE optimized geometry; crystal system = tetragonal; formation energy from the elements = 0.6972 eV per atom; magnetization = 2.75 μB per cell; total energy = -2.544 eV/atom; V = 58.65 Å³ per atom
1.0
-2.303 -6.024 -1.716
2.334 -2.522 5.721
-5.736 1.356 2.937
Sr Ba Hf Rb
2 1 1 1
Cartesian
-1.151 -3.012 -0.858
1.167 -1.261 2.861
-2.868 0.678 1.469
0.000 0.000 0.000
-2.852 -3.595 3.471


5.
RbBaHf2Tl GGA-PBE optimized geometry; crystal system = tetragonal; formation energy from the elements = 1.7198 eV per atom; magnetization = 0.00 μB per cell; total energy = -3.313 eV/atom; V = 39.83 Å³ per atom
1.0
5.579 0.000 0.000
0.000 6.399 0.000
0.000 0.000 5.579
Rb Hf Ba Tl
1 2 1 1
Cartesian
0.000 3.200 0.000
0.000 0.000 2.789
2.789 0.000 0.000
0.000 0.000 0.000
2.789 3.200 2.789


6.
RbBaYHf2 GGA-PBE optimized geometry; crystal system = tetragonal; formation energy from the elements = 1.6479 eV per atom; magnetization = 0.00 μB per cell; total energy = -4.204 eV/atom; V = 37.23 Å³ per atom
1.0
5.598 0.000 0.000
0.000 5.941 0.000
0.000 0.000 5.598
Hf Ba Rb Y
2 1 1 1
Cartesian
2.799 0.000 0.000
0.000 0.000 2.799
0.000 0.000 0.000
2.799 2.970 2.799
0.000 2.970 0.000